Record 1
VASP calculation (PBE) on crystalline KTa2Fe at its relaxed geometry.

* polymorph energy (0 for the lowest one): 0.238 eV/atom
* ρ: 7.3 Mg/m³
* SG: Cm, No. 8
* N(E_F): 1.44 states/eV per atom

Lattice parameters (Å, degrees): 4.802 4.802 7.697 78.24 78.24 37.08
Sites, in units of the cell vectors:
Fe: 0.507 0.507 0.655
K: 0.198 0.198 0.264
Ta: 0.020 0.020 0.879
Ta: 0.775 0.775 0.701

=====

Record 2
VASP calculation (PBE) on crystalline KTa2Fe at its relaxed geometry.

* polymorph energy (0 for the lowest one): 0.328 eV/atom
* ρ: 8.8 Mg/m³
* SG: C2/m, No. 12
* N(E_F): 1.03 states/eV per atom

Lattice parameters (Å, degrees): 5.738 5.738 5.704 72.41 72.41 28.78
Sites, in units of the cell vectors:
Fe: 0.750 0.750 0.750
K: 0.250 0.250 0.250
Ta: 0.053 0.053 0.910
Ta: 0.447 0.447 0.590

=====

Record 3
VASP calculation (PBE) on crystalline KTaFe2 at its relaxed geometry.

* polymorph energy (0 for the lowest one): 0.160 eV/atom
* ρ: 7.0 Mg/m³
* SG: P4mm, No. 99
* N(E_F): 1.13 states/eV per atom

Lattice parameters (Å, degrees): 2.934 2.934 9.154 90.00 90.00 90.00
Sites, in units of the cell vectors:
Fe: 0.000 0.000 0.019
Fe: 0.500 0.500 0.162
K: 0.000 0.000 0.476
Ta: 0.500 0.500 0.843

=====

Record 4
VASP calculation (PBE) on crystalline KTaFe2 at its relaxed geometry.

* polymorph energy (0 for the lowest one): 0.216 eV/atom
* ρ: 7.5 Mg/m³
* SG: Cmmm, No. 65
* N(E_F): 1.33 states/eV per atom

Lattice parameters (Å, degrees): 2.827 2.827 9.628 90.00 90.00 107.62
Sites, in units of the cell vectors:
Fe: 0.000 0.000 0.952
Fe: 0.000 0.000 0.548
K: 0.500 0.500 0.250
Ta: 0.500 0.500 0.750

=====

Record 5
VASP calculation (PBE) on crystalline KTa2Fe at its relaxed geometry.

* polymorph energy (0 for the lowest one): 0.922 eV/atom
* ρ: 9.4 Mg/m³
* SG: P4/mmm, No. 123
* N(E_F): 1.19 states/eV per atom

Lattice parameters (Å, degrees): 5.033 4.006 4.006 90.00 90.00 90.00
Sites, in units of the cell vectors:
Fe: 0.500 0.500 0.000
K: 0.500 0.000 0.500
Ta: 0.000 0.000 0.000
Ta: 0.000 0.500 0.500

=====

Record 6
VASP calculation (PBE) on crystalline K2TaFe at its relaxed geometry.

* polymorph energy (0 for the lowest one): 0.126 eV/atom
* ρ: 4.4 Mg/m³
* SG: Cm, No. 8
* N(E_F): 0.89 states/eV per atom

Lattice parameters (Å, degrees): 3.455 3.455 11.667 82.16 82.16 59.62
Sites, in units of the cell vectors:
Fe: 0.232 0.232 0.304
K: 0.971 0.971 0.074
K: 0.767 0.767 0.706
Ta: 0.529 0.529 0.416

=====

Record 7
VASP calculation (PBE) on crystalline K2TaFe at its relaxed geometry.

* polymorph energy (0 for the lowest one): 0.000 eV/atom
* ρ: 4.4 Mg/m³
* SG: Pm, No. 6
* N(E_F): 0.86 states/eV per atom

Lattice parameters (Å, degrees): 3.306 3.283 11.440 72.83 90.00 90.00
Sites, in units of the cell vectors:
Fe: 0.500 0.820 0.678
K: 0.000 0.074 0.918
K: 0.500 0.196 0.313
Ta: 0.000 0.410 0.591

=====

Record 8
VASP calculation (PBE) on crystalline K3TaFe at its relaxed geometry.

* polymorph energy (0 for the lowest one): 0.000 eV/atom
* ρ: 2.5 Mg/m³
* SG: Pm-3m, No. 221
* N(E_F): 3.71 states/eV per atom

Lattice parameters (Å, degrees): 6.148 6.148 6.148 90.00 90.00 90.00
Sites, in units of the cell vectors:
K: 0.000 0.500 0.000
K: 0.000 0.000 0.500
K: 0.500 0.000 0.000
Fe: 0.000 0.000 0.000
Ta: 0.500 0.500 0.500

=====

Record 9
VASP calculation (PBE) on crystalline KTaFe2Te at its relaxed geometry.

* ρ: 7.2 Mg/m³
* formation energy without anion corrections: 2.523 eV per atom
* SG: P4/mmm, No. 123
* N(E_F): 1.38 states/eV per atom

Lattice parameters (Å, degrees): 4.459 5.292 4.459 90.00 90.00 90.00
Sites, in units of the cell vectors:
K: 0.000 0.000 0.000
Te: 0.500 0.500 0.500
Fe: 0.000 0.000 0.500
Fe: 0.500 0.000 0.000
Ta: 0.000 0.500 0.000

=====

Record 10
VASP calculation (PBE) on crystalline KTa2ZnFe at its relaxed geometry.

* ρ: 8.0 Mg/m³
* SG: P4/mmm, No. 123
* DFT total energy: -25.25 eV for the cell shown
* N(E_F): 1.91 states/eV per atom

Lattice parameters (Å, degrees): 4.901 4.512 4.901 90.00 90.00 90.00
Sites, in units of the cell vectors:
K: 0.500 0.500 0.500
Zn: 0.000 0.000 0.000
Fe: 0.000 0.500 0.000
Ta: 0.000 0.000 0.500
Ta: 0.500 0.000 0.000

=====

Record 11
VASP calculation (PBE) on crystalline KFe2Tc at its relaxed geometry.

* polymorph energy (0 for the lowest one): 0.821 eV/atom
* ρ: 6.5 Mg/m³
* SG: F-43m, No. 216
* N(E_F): 1.29 states/eV per atom

Lattice parameters (Å, degrees): 4.471 4.471 4.471 60.00 60.00 60.00
Sites, in units of the cell vectors:
Fe: 0.000 0.000 0.000
Fe: 0.750 0.750 0.750
K: 0.500 0.500 0.500
Tc: 0.250 0.250 0.250

=====

Record 12
VASP calculation (PBE) on crystalline K2FeTc at its relaxed geometry.

* polymorph energy (0 for the lowest one): 0.603 eV/atom
* ρ: 4.6 Mg/m³
* SG: R-3m, No. 166
* N(E_F): 0.91 states/eV per atom

Lattice parameters (Å, degrees): 11.916 11.916 11.916 13.85 13.85 13.85
Sites, in units of the cell vectors:
Fe: 0.750 0.750 0.750
K: 0.999 0.999 0.999
K: 0.501 0.501 0.501
Tc: 0.250 0.250 0.250